A geometry-optimized CaYHg2 structure. Source: Alexandria, functional PBE.

Properties
* E above lowest polymorph: 195 meV per atom
* calculated formation energy: -1.42 eV/f.u.
* energy: -2.622 eV per atom

Lattice parameters (Å, degrees): 4.0761 4.4115 6.4106 90.00 90.00 90.00
Last column: nearest neighbours and their distance in Å.
Fractional positions:
Ca (0.5000, 0.5000, 0.8087)  6 Hg 3.15-3.26
Hg (0.0000, 0.0000, 0.9545)  2 Y 3.09-3.32, 4 Ca 3.15
Hg (0.5000, 0.5000, 0.2999)  4 Y 3.13, 2 Ca 3.15-3.26
Y (0.0000, 0.0000, 0.4369)  6 Hg 3.09-3.32